Arrangement one

Compound: AsPdAu3
Source: Alexandria
Functional: GGA-PBE
Structure: optimized geometry

POSCAR file:
```
AsPdAu3
1.0
4.9892 0.0000 0.0000
0.0000 4.9892 0.0000
0.0000 0.0000 4.9892
Pd As Au
1 1 3
Direct
0.0000 0.0000 0.0000
0.5000 0.5000 0.5000
0.0000 0.5000 0.0000
0.5000 0.0000 0.0000
0.0000 0.0000 0.5000
```

---

Arrangement two

Compound: AsPdAu3
Source: Alexandria
Functional: GGA-PBE
Structure: optimized geometry

POSCAR file:
```
AsPdAu3
1.0
-2.9427 -0.8747 -3.7402
3.8200 -1.1603 -2.7341
-0.4026 -4.6155 1.3962
Au As Pd
3 1 1
Direct
0.0000 0.5000 0.0000
0.0000 0.0000 0.5000
0.5000 0.0000 0.0000
0.0000 0.0000 0.0000
0.5000 0.5000 0.5000
```

---

Most stable of them? arrangement two.